## RbCdSbSe3 (PBE-GGA)

Data for RbCdSbSe3 after structural relaxation.

a = 9.552 Å, b = 4.300 Å, c = 10.338 Å
α = 90.00°, β = 105.67°, γ = 90.00°
Element x y z (fractional)
Rb1 0.192 0.250 0.234
Rb2 0.808 0.750 0.766
Cd1 0.096 0.250 0.611
Cd2 0.904 0.750 0.389
Sb1 0.342 0.750 0.874
Sb2 0.658 0.250 0.126
Se1 0.140 0.250 0.879
Se2 0.202 0.750 0.514
Se3 0.443 0.750 0.137
Se4 0.557 0.250 0.863
Se5 0.798 0.250 0.486
Se6 0.860 0.750 0.121

Computed properties:
Total moment   0.00 μB per formula unit
Calculated density   4.5 g cm⁻³
Formation energy (no corrections)   -0.67 eV per atom